Density functional theory data (GGA-PBEsol) for a relaxed ZnNiIr2 crystal.

a b c (Å): 2.9694 4.1502 4.1502
angles (deg): 90.00 90.00 90.00
Closest atoms and distances in Å follow each position.
Positions (direct):
Ir: 0.0000 0.0000 0.5000  4 Ni 2.55, 4 Zn 2.55
Ir: 0.0000 0.5000 0.0000  4 Ni 2.55, 4 Zn 2.55
Ni: 0.5000 0.5000 0.5000  8 Ir 2.55
Zn: 0.5000 0.0000 0.0000  8 Ir 2.55

Computed properties:
Calculated total energy   -27.3 eV/cell
Size of the total moment   0.00 μB per formula unit
Space group   No. 123
Formation enthalpy at 0 K   13 meV/atom